(1)
This record from Alexandria describes a geometry-optimized BaNaNi structure. The functional is PBE.

Summary:
D(E_F): 10.597 states/eV/cell

Unit cell a=7.309 b=4.215 c=14.227 alpha=90.00 beta=99.74 gamma=90.00
Space group Cm (No. 8)
One atom of each set of equivalent atoms:
Ba 0.000 0.000 0.000
Ba 0.098 0.000 0.298
Na 0.249 0.000 0.750
Na 0.348 0.500 0.547
Ni 0.216 0.500 0.149
Ni 0.383 0.000 0.149


(2)
This record from Alexandria describes a geometry-optimized BaNaNi structure. The functional is PBE.

Summary:
D(E_F): 10.554 states/eV/cell

Unit cell a=4.456 b=21.047 c=4.326 alpha=90.00 beta=90.00 gamma=90.00
Space group Cmcm (No. 63)
One atom of each set of equivalent atoms:
Ba 0.000 0.083 0.250
Na 0.000 0.292 0.250
Ni 0.000 0.481 0.250


Least stable of them? (2).


(1)
This record from Alexandria describes a geometry-optimized RbBa2NaNi structure. The functional is PBE.

Summary:
D(E_F): 4.269 states/eV/cell

Unit cell a=6.072 b=6.072 c=6.466 alpha=90.00 beta=90.00 gamma=90.00
Space group P4/mmm (No. 123)
One atom of each set of equivalent atoms:
Rb 0.000 0.000 0.000
Ba 0.000 0.500 0.500
Na 0.500 0.500 0.000
Ni 0.500 0.500 0.500


(2)
This record from Alexandria describes a geometry-optimized RbBa2NaNi structure. The functional is PBE.

Summary:
D(E_F): 5.182 states/eV/cell

Unit cell a=6.083 b=6.083 c=6.794 alpha=90.00 beta=90.00 gamma=90.00
Space group P4/mmm (No. 123)
One atom of each set of equivalent atoms:
Rb 0.000 0.000 0.000
Ba 0.000 0.500 0.500
Na 0.500 0.500 0.000
Ni 0.000 0.000 0.500


Least stable of them? (2).


(1)
This record from Alexandria describes a geometry-optimized Ba2NaTlNi structure. The functional is PBE.

Summary:
D(E_F): 4.404 states/eV/cell

Unit cell a=5.974 b=5.974 c=5.420 alpha=90.00 beta=90.00 gamma=90.00
Space group P4/mmm (No. 123)
One atom of each set of equivalent atoms:
Ba 0.000 0.500 0.000
Na 0.000 0.000 0.500
Tl 0.500 0.500 0.500
Ni 0.000 0.000 0.000


(2)
This record from Alexandria describes a geometry-optimized Ba2NaTlNi structure. The functional is PBE.

Summary:
D(E_F): 4.946 states/eV/cell

Unit cell a=6.097 b=6.097 c=5.146 alpha=90.00 beta=90.00 gamma=90.00
Space group P4/mmm (No. 123)
One atom of each set of equivalent atoms:
Ba 0.000 0.500 0.000
Na 0.000 0.000 0.500
Tl 0.500 0.500 0.500
Ni 0.500 0.500 0.000


Least stable of them? (1).


(1)
This record from Alexandria describes a geometry-optimized Ba4Na2O structure. The functional is PBE.

Summary:
D(E_F): 24.836 states/eV/cell

Unit cell a=11.041 b=8.636 c=14.887 alpha=90.00 beta=90.00 gamma=90.00
Space group Pnma (No. 62)
One atom of each set of equivalent atoms:
Ba 0.000 0.250 0.088
Ba 0.184 0.013 0.344
Ba 0.184 0.250 0.580
Na 0.021 0.250 0.826
Na 0.132 0.750 0.605
O 0.229 0.750 0.922


(2)
This record from Alexandria describes a geometry-optimized Ba4Na2O structure. The functional is PBE.

Summary:
D(E_F): 9.507 states/eV/cell

Unit cell a=5.535 b=5.535 c=20.003 alpha=90.00 beta=90.00 gamma=90.00
Space group I4/mmm (No. 139)
One atom of each set of equivalent atoms:
Ba 0.000 0.000 0.164
Ba 0.000 0.500 0.000
Na 0.000 0.000 0.355
O 0.000 0.000 0.000


Least stable of them? (2).